Density functional theory data (PBE-GGA) for crystalline Re3Os5 at its relaxed geometry.

Computed properties:
Electronic total energy   -11.618 eV per atom
DOS at the Fermi energy   0.842 states/eV/atom

Unit cell a=7.743 b=7.748 c=3.888 alpha=90.00 beta=90.00 gamma=90.00
Space group Cmmm (No. 65)
Unique sites:
Re 0.000 0.000 0.000
Re 0.247 0.500 0.500
Os 0.000 0.253 0.500
Os 0.000 0.500 0.000
Os 0.250 0.250 0.000